# 1
Mg2CdBi2: optimized geometry, GGA-PBE.

a = 9.032 Å, b = 9.032 Å, c = 3.410 Å
α = 90.00°, β = 90.00°, γ = 90.00°
Fractional coordinates of all 10 atoms:
Mg 0.138 0.362 0.000
Mg 0.362 0.862 0.000
Mg 0.638 0.138 0.000
Mg 0.862 0.638 0.000
Cd 0.000 0.000 0.500
Cd 0.500 0.500 0.500
Bi 0.160 0.660 0.500
Bi 0.340 0.160 0.500
Bi 0.660 0.840 0.500
Bi 0.840 0.340 0.500

Results
Symmetry: P4/mbm (127)
Final energy in eV/atom: -2.4043
Polymorph energy (0 for the lowest one) in meV per atom: 56
Calculated volume in Å³/atom: 27.82
Formation enthalpy at 0 K in eV/atom: -0.031

***

# 2
MgCd6Bi: optimized geometry, GGA-PBE.

a = 4.561 Å, b = 4.561 Å, c = 9.170 Å
α = 90.00°, β = 90.00°, γ = 90.00°
Fractional coordinates of all 8 atoms:
Mg 0.000 0.000 0.000
Cd 0.000 0.500 0.235
Cd 0.000 0.500 0.765
Cd 0.500 0.000 0.235
Cd 0.500 0.000 0.765
Cd 0.500 0.500 0.000
Cd 0.500 0.500 0.500
Bi 0.000 0.000 0.500

Results
Symmetry: P4/mmm (123)
Final energy in eV/atom: -1.3735
Calculated volume in Å³/atom: 23.84
Formation enthalpy at 0 K in eV/atom: -0.003

***

# 3
Mg2Cd2Bi: optimized geometry, GGA-PBE.

a = 8.343 Å, b = 8.343 Å, c = 3.486 Å
α = 90.00°, β = 90.00°, γ = 90.00°
Fractional coordinates of all 10 atoms:
Mg 0.173 0.327 0.000
Mg 0.327 0.827 0.000
Mg 0.673 0.173 0.000
Mg 0.827 0.673 0.000
Cd 0.125 0.625 0.500
Cd 0.375 0.125 0.500
Cd 0.625 0.875 0.500
Cd 0.875 0.375 0.500
Bi 0.000 0.000 0.500
Bi 0.500 0.500 0.500

Results
Symmetry: P4/mbm (127)
Final energy in eV/atom: -1.8177
Polymorph energy (0 for the lowest one) in meV per atom: 0
Calculated volume in Å³/atom: 24.27
Formation enthalpy at 0 K in eV/atom: -0.038

***

# 4
MgCdBi3: optimized geometry, GGA-PBE.

a = 5.550 Å, b = 5.550 Å, c = 5.550 Å
α = 90.00°, β = 90.00°, γ = 90.00°
Fractional coordinates of all 5 atoms:
Mg 0.000 0.000 0.000
Cd 0.500 0.500 0.500
Bi 0.000 0.000 0.500
Bi 0.000 0.500 0.000
Bi 0.500 0.000 0.000

Results
Symmetry: Pm-3m (221)
Final energy in eV/atom: -2.3354
Polymorph energy (0 for the lowest one) in meV per atom: 0
Calculated volume in Å³/atom: 34.18
Formation enthalpy at 0 K in eV/atom: 0.495

***

# 5
Mg2Cd2Bi: optimized geometry, GGA-PBE.

a = 4.931 Å, b = 4.931 Å, c = 6.092 Å
α = 90.00°, β = 90.00°, γ = 117.12°
Fractional coordinates of all 5 atoms:
Mg 0.000 0.000 0.240
Mg 0.000 0.000 0.760
Cd 0.326 0.674 0.000
Cd 0.674 0.326 0.000
Bi 0.500 0.500 0.500

Results
Symmetry: Cmmm (65)
Final energy in eV/atom: -1.7860
Polymorph energy (0 for the lowest one) in meV per atom: 32
Calculated volume in Å³/atom: 26.37
Formation enthalpy at 0 K in eV/atom: -0.006

***

# 6
MgCdBi2Mo: optimized geometry, GGA-PBE.

a = 5.402 Å, b = 5.402 Å, c = 5.200 Å
α = 90.00°, β = 90.00°, γ = 90.00°
Fractional coordinates of all 5 atoms:
Mg 0.000 0.000 0.000
Cd 0.500 0.500 0.500
Bi 0.000 0.500 0.000
Bi 0.500 0.000 0.000
Mo 0.000 0.000 0.500

Results
Symmetry: P4/mmm (123)
Final energy in eV/atom: -3.1103
Calculated volume in Å³/atom: 30.35
Formation enthalpy at 0 K in eV/atom: 1.110

***

# 7
NaMgCdBi: optimized geometry, GGA-PBE.

a = 5.268 Å, b = 5.268 Å, c = 5.268 Å
α = 60.00°, β = 60.00°, γ = 60.00°
Fractional coordinates of all 4 atoms:
Na 0.000 0.000 0.000
Mg 0.500 0.500 0.500
Cd 0.750 0.750 0.750
Bi 0.250 0.250 0.250

Results
Symmetry: F-43m (216)
Final energy in eV/atom: -2.1192
Calculated volume in Å³/atom: 25.85
Formation enthalpy at 0 K in eV/atom: -0.192

***

# 8
MgNbCdBi2: optimized geometry, GGA-PBE.

a = 5.585 Å, b = 5.585 Å, c = 5.387 Å
α = 90.00°, β = 90.00°, γ = 90.00°
Fractional coordinates of all 5 atoms:
Mg 0.000 0.000 0.000
Nb 0.500 0.500 0.000
Cd 0.500 0.500 0.500
Bi 0.000 0.500 0.500
Bi 0.500 0.000 0.500

Results
Symmetry: P4/mmm (123)
Final energy in eV/atom: -2.9825
Calculated volume in Å³/atom: 33.61
Formation enthalpy at 0 K in eV/atom: 1.086

***

# 9
NdMgCdBi: optimized geometry, GGA-PBE.

a = 5.396 Å, b = 5.396 Å, c = 5.396 Å
α = 60.00°, β = 60.00°, γ = 60.00°
Fractional coordinates of all 4 atoms:
Nd 0.000 0.000 0.000
Mg 0.500 0.500 0.500
Cd 0.250 0.250 0.250
Bi 0.750 0.750 0.750

Results
Symmetry: F-43m (216)
Final energy in eV/atom: -3.0665
Calculated volume in Å³/atom: 27.77
Formation enthalpy at 0 K in eV/atom: -0.277

***

# 10
MgCd2BiO6: optimized geometry, GGA-PBE.

a = 5.512 Å, b = 5.694 Å, c = 9.865 Å
α = 90.00°, β = 122.85°, γ = 90.00°
Fractional coordinates of all 20 atoms:
Mg 0.000 0.000 0.000
Mg 0.000 0.500 0.500
Cd 0.216 0.055 0.745
Cd 0.216 0.445 0.245
Cd 0.784 0.555 0.755
Cd 0.784 0.945 0.255
Bi 0.500 0.000 0.500
Bi 0.500 0.500 0.000
O 0.134 0.213 0.431
O 0.134 0.287 0.931
O 0.212 0.708 0.422
O 0.212 0.792 0.922
O 0.391 0.061 0.254
O 0.391 0.439 0.754
O 0.609 0.561 0.246
O 0.609 0.939 0.746
O 0.788 0.208 0.078
O 0.788 0.292 0.578
O 0.866 0.713 0.069
O 0.866 0.787 0.569

Results
E_form (uncorrected) in eV per atom: -1.16
Symmetry: P2_1/c (14)
Final energy in eV/atom: -4.8636
Calculated volume in Å³/atom: 13.01

***

# 11
MgCdBiP2: optimized geometry, GGA-PBE.

a = 4.900 Å, b = 4.900 Å, c = 5.910 Å
α = 90.00°, β = 90.00°, γ = 90.00°
Fractional coordinates of all 5 atoms:
Mg 0.000 0.000 0.000
Cd 0.500 0.500 0.500
Bi 0.500 0.500 0.000
P 0.000 0.500 0.500
P 0.500 0.000 0.500

Results
Symmetry: P4/mmm (123)
Final energy in eV/atom: -2.5570
Calculated volume in Å³/atom: 28.38
Formation enthalpy at 0 K in eV/atom: 0.885

***

# 12
Mg3CdBiPb: optimized geometry, GGA-PBE.

a = 9.420 Å, b = 9.420 Å, c = 7.622 Å
α = 94.11°, β = 94.11°, γ = 28.46°
Fractional coordinates of all 12 atoms:
Mg 0.023 0.023 0.295
Mg 0.282 0.282 0.162
Mg 0.348 0.348 0.757
Mg 0.652 0.652 0.243
Mg 0.718 0.718 0.838
Mg 0.977 0.977 0.705
Cd 0.429 0.429 0.407
Cd 0.571 0.571 0.593
Bi 0.122 0.122 0.980
Bi 0.878 0.878 0.020
Pb 0.187 0.187 0.538
Pb 0.813 0.813 0.462

Results
Symmetry: C2/m (12)
Final energy in eV/atom: -2.2708
Calculated volume in Å³/atom: 26.78
Formation enthalpy at 0 K in eV/atom: -0.056